USnTe: optimized geometry, PBE-GGA.

Summary:
D(E_F), states/eV/f.u.: 8.3
SG: P4/nmm (129)
Mass density, g/cm3: 9.807
Distance to the lowest polymorph of the same formula, eV per atom: 0.0075
ΔE_f (raw), eV/atom: -0.429

Cell lengths 4.282, 4.282, 8.945 Å; angles 90.00, 90.00, 90.00 degrees
Last column: magnetic moment on the atom in μB.
Fractional positions:
U  0.500  0.000  0.282  2.27
U  0.000  0.500  0.718  2.27
Sn  0.500  0.500  0.000  -0.05
Sn  0.000  0.000  0.000  -0.05
Te  0.500  0.000  0.640  -0.07
Te  0.000  0.500  0.360  -0.07